First-principles (GGA-PBE) data for crystalline Tb6HPt2 at its relaxed geometry, as listed in Alexandria via LeMat-Bulk.

a = 6.4644 Å, b = 7.0437 Å, c = 11.6795 Å
α = 90.00°, β = 123.45°, γ = 90.00°
Space group P2_1/c (No. 14)
Asymmetric unit:
Tb: 0.1098 0.0262 0.2501 x4
Tb: 0.2337 0.6773 0.0608 x4
Tb: 0.3860 0.1770 0.0616 x4
H: 0.5000 0.0000 0.5000 x2
Pt: 0.3135 0.1165 0.7519 x4

Properties
D(E_F) = 16.2 states/eV per cell
Magnetization = 0.0 μB per cell

---

First-principles (GGA-PBE) data for crystalline Tb4HPt2 at its relaxed geometry, as listed in Alexandria via LeMat-Bulk.

a = 4.6345 Å, b = 4.6345 Å, c = 14.5700 Å
α = 90.00°, β = 90.00°, γ = 90.00°
Space group I4/mmm (No. 139)
Asymmetric unit:
Tb: 0.0000 0.0000 0.1866 x4
Tb: 0.0000 0.5000 0.0000 x4
H: 0.0000 0.0000 0.0000 x2
Pt: 0.0000 0.0000 0.3734 x4

Properties
D(E_F) = 12.3 states/eV per cell
Magnetization = 0.0 μB per cell

---

no.,E_tot (eV per atom)
1,-5.505
2,-5.637